Density functional theory data (GGA-PBE) for a relaxed CeZrTlAu crystal.

Structure (CIF):
```
data_CeZrTlAu
_chemical_formula_sum 'Ce4 Zr4 Tl4 Au4'
_cell_length_a 7.337
_cell_length_b 7.337
_cell_length_c 7.337
_cell_angle_alpha 90.00
_cell_angle_beta 90.00
_cell_angle_gamma 90.00
_symmetry_space_group_name_H-M 'F -4 3 m'
_symmetry_Int_Tables_number 216
_symmetry_space_group_name_Hall 'F -4 2 3'
loop_
_atom_site_label
_atom_site_fract_x
_atom_site_fract_y
_atom_site_fract_z
_atom_site_occupancy
Ce1 0.000 0.000 0.000 1
Zr1 0.000 0.000 0.500 1
Tl1 0.250 0.250 0.250 1
Au1 0.250 0.250 0.750 1
```

Density functional theory data (GGA-PBE) for a relaxed CeTm2Au4 crystal.

Structure (CIF):
```
data_CeTm2Au4
_chemical_formula_sum 'Ce1 Tm2 Au4'
_cell_length_a 5.027
_cell_length_b 5.027
_cell_length_c 6.866
_cell_angle_alpha 90.00
_cell_angle_beta 90.00
_cell_angle_gamma 90.00
_symmetry_space_group_name_H-M 'P 4/m m m'
_symmetry_Int_Tables_number 123
_symmetry_space_group_name_Hall '-P 4 2'
loop_
_atom_site_label
_atom_site_fract_x
_atom_site_fract_y
_atom_site_fract_z
_atom_site_occupancy
Ce1 0.000 0.000 0.000 1
Tm1 0.000 0.000 0.500 1
Tm2 0.500 0.500 0.000 1
Au1 0.000 0.500 0.259 1
```

# CeTmAu | the Alexandria database | GGA-PBE | optimized geometry
data_CeTmAu
_chemical_formula_sum 'Ce2 Tm2 Au2'
_cell_length_a 3.547
_cell_length_b 3.547
_cell_length_c 12.678
_cell_angle_alpha 90.00
_cell_angle_beta 90.00
_cell_angle_gamma 90.00
_symmetry_space_group_name_H-M 'I 4 m m'
_symmetry_Int_Tables_number 107
_symmetry_space_group_name_Hall 'I 4 -2'
loop_
_atom_site_label
_atom_site_fract_x
_atom_site_fract_y
_atom_site_fract_z
_atom_site_occupancy
Ce1 0.000 0.000 0.000 1
Tm1 0.000 0.000 0.708 1
Au1 0.000 0.000 0.335 1
# * energy above the most stable polymorph in this dataset: 0 meV per atom

| no. | VASP energy (eV per atom) | Fermi-level density of states (states/eV per cell) | total magnetization (μB/f.u.) |
| --- | --- | --- | --- |
| 1 | -5.254 | 30.4 | 2.4 |
| 2 | -4.577 | 8.8 | 0.8 |
| 3 | -5.007 | 11.2 | 1.5 |